[1]
Compound: EuHoZnRu
Source: the Alexandria database
Functional: PBE
Structure: optimized geometry

Geometry as POSCAR:
```
EuHoZnRu
1.0
4.9672 0.0000 0.0000
2.4836 4.3017 0.0000
2.4836 1.4339 4.0557
Zn Ho Ru Eu
1 1 1 1
Direct
0.2500 0.2500 0.2500
0.0000 0.0000 0.0000
0.7500 0.7500 0.7500
0.5000 0.5000 0.5000
```

Calculated values
- Electronic total energy: -6.51 eV per atom
- Density: 9.3 Mg/m³
- Spin magnetization: 6.88 μB/cell
- Density of states at the Fermi level: 0.777 states/eV/atom

=====

[2]
Compound: EuHoS2
Source: the Alexandria database
Functional: PBE
Structure: optimized geometry

Geometry as POSCAR:
```
EuHoS2
1.0
3.9785 0.0000 0.0000
1.9893 3.4455 0.0000
1.9893 1.1485 6.6110
Ho S Eu
1 2 1
Direct
0.0000 0.0000 0.0000
0.7446 0.7446 0.7663
0.2554 0.2554 0.2337
0.5000 0.5000 0.5000
```

Calculated values
- E_form (uncorrected): -2.077 eV/atom
- Electronic total energy: -7.85 eV per atom
- Density: 7.0 Mg/m³
- Spin magnetization: 6.97 μB/cell
- Density of states at the Fermi level: 0.415 states/eV/atom

=====

[3]
Compound: EuHo2S4
Source: the Alexandria database
Functional: PBE
Structure: optimized geometry

Geometry as POSCAR:
```
EuHo2S4
1.0
-1.8530 1.0976 3.3200
1.7890 -10.8297 4.5789
12.3971 4.3635 5.4767
S Ho Eu
16 8 4
Direct
0.7500 0.9765 0.7156
0.7500 0.5879 0.4208
0.2500 0.2071 0.8219
0.7500 0.4765 0.7844
0.2500 0.7071 0.6781
0.7500 0.7929 0.1781
0.2500 0.0235 0.2844
0.7500 0.3679 0.0289
0.2500 0.1321 0.5289
0.2500 0.6321 0.9711
0.2500 0.9121 0.9208
0.7500 0.0879 0.0792
0.7500 0.8679 0.4711
0.2500 0.4121 0.5792
0.2500 0.5235 0.2156
0.7500 0.2929 0.3219
0.7500 0.5675 0.6106
0.7500 0.5820 0.1001
0.2500 0.9180 0.6001
0.7500 0.0675 0.8894
0.2500 0.4180 0.8999
0.2500 0.9325 0.1106
0.7500 0.0820 0.3999
0.2500 0.4325 0.3894
0.7500 0.7422 0.8377
0.7500 0.2422 0.6623
0.2500 0.7578 0.3377
0.2500 0.2578 0.1623
```

Calculated values
- E_form (uncorrected): -2.120 eV/atom
- Electronic total energy: -7.25 eV per atom
- Density: 6.0 Mg/m³
- Spin magnetization: 27.98 μB/cell
- Density of states at the Fermi level: 2.822 states/eV/atom

=====

[4]
Compound: EuHo2Sc
Source: the Alexandria database
Functional: PBE
Structure: optimized geometry

Geometry as POSCAR:
```
EuHo2Sc
1.0
3.5701 0.0000 0.0000
0.0000 3.5701 0.0000
0.0000 0.0000 9.8035
Eu Ho Sc
1 2 1
Direct
0.5000 0.5000 0.5000
0.0000 0.0000 0.2207
0.0000 0.0000 0.7793
0.5000 0.5000 0.0000
```

Calculated values
- Energy relative to the lowest polymorph listed for this composition: 0 meV/atom
- Electronic total energy: -6.36 eV per atom
- Density: 7.0 Mg/m³
- Spin magnetization: 7.43 μB/cell
- Density of states at the Fermi level: 1.518 states/eV/atom

=====

[5]
Compound: EuHoSc2
Source: the Alexandria database
Functional: PBE
Structure: optimized geometry

Geometry as POSCAR:
```
EuHoSc2
1.0
3.8497 0.0000 0.0000
0.0000 5.4786 0.0000
0.0000 0.0000 5.4786
Sc Eu Ho
2 1 1
Direct
0.0000 0.5000 0.0000
0.0000 0.0000 0.5000
0.5000 0.5000 0.5000
0.5000 0.0000 0.0000
```

Calculated values
- Energy relative to the lowest polymorph listed for this composition: 46 meV/atom
- Electronic total energy: -6.71 eV per atom
- Density: 5.8 Mg/m³
- Spin magnetization: 6.91 μB/cell
- Density of states at the Fermi level: 1.661 states/eV/atom

=====

[6]
Compound: EuHoSc2
Source: the Alexandria database
Functional: PBE
Structure: optimized geometry

Geometry as POSCAR:
```
EuHoSc2
1.0
-1.0656 -5.1637 1.4376
0.0649 -3.9551 -3.7707
4.0065 -3.7167 0.0072
Eu Sc Ho
1 2 1
Direct
0.0000 0.0000 0.0000
0.7500 0.7500 0.7500
0.2500 0.2500 0.2500
0.5000 0.5000 0.5000
```

Calculated values
- Energy relative to the lowest polymorph listed for this composition: 48 meV/atom
- Electronic total energy: -6.71 eV per atom
- Density: 5.9 Mg/m³
- Spin magnetization: 6.68 μB/cell
- Density of states at the Fermi level: 1.640 states/eV/atom

=====

[7]
Compound: Eu2HoSc
Source: the Alexandria database
Functional: PBE
Structure: optimized geometry

Geometry as POSCAR:
```
Eu2HoSc
1.0
-1.6958 -1.7432 2.6158
2.7342 -2.2843 0.2502
4.4814 6.1295 6.9899
Sc Eu Ho
1 2 1
Direct
0.5000 0.5000 0.0000
0.0000 0.0000 0.2395
0.0000 0.0000 0.7605
0.5000 0.5000 0.5000
```

Calculated values
- Energy relative to the lowest polymorph listed for this composition: 0 meV/atom
- Electronic total energy: -7.69 eV per atom
- Density: 6.5 Mg/m³
- Spin magnetization: 15.41 μB/cell
- Density of states at the Fermi level: 1.407 states/eV/atom

=====

[8]
Compound: Eu2HoSc
Source: the Alexandria database
Functional: PBE
Structure: optimized geometry

Geometry as POSCAR:
```
Eu2HoSc
1.0
-3.7614 3.4815 0.8302
-2.2277 -1.3805 -4.3038
-2.6651 -3.4740 2.4939
Ho Eu Sc
1 2 1
Direct
0.5000 0.0000 0.0000
0.0000 0.5000 0.0000
0.0000 0.0000 0.5000
0.5000 0.5000 0.5000
```

Calculated values
- Energy relative to the lowest polymorph listed for this composition: 4 meV/atom
- Electronic total energy: -7.69 eV per atom
- Density: 6.5 Mg/m³
- Spin magnetization: 15.52 μB/cell
- Density of states at the Fermi level: 1.506 states/eV/atom

=====

[9]
Compound: EuHoSc2
Source: the Alexandria database
Functional: PBE
Structure: optimized geometry

Geometry as POSCAR:
```
EuHoSc2
1.0
3.4904 0.0000 0.0000
0.0000 3.4904 0.0000
0.0000 0.0000 9.6414
Eu Sc Ho
1 2 1
Direct
0.5000 0.5000 0.5000
0.0000 0.0000 0.7666
0.0000 0.0000 0.2334
0.5000 0.5000 0.0000
```

Calculated values
- Energy relative to the lowest polymorph listed for this composition: 0 meV/atom
- Electronic total energy: -6.75 eV per atom
- Density: 5.8 Mg/m³
- Spin magnetization: 8.08 μB/cell
- Density of states at the Fermi level: 1.550 states/eV/atom

=====

[10]
Compound: Eu2HoSc
Source: the Alexandria database
Functional: PBE
Structure: optimized geometry

Geometry as POSCAR:
```
Eu2HoSc
1.0
-1.6020 -4.4319 -3.2192
3.5290 -2.0542 -3.9872
2.4691 -5.0940 0.7253
Eu Sc Ho
2 1 1
Direct
0.2500 0.2500 0.2500
0.7500 0.7500 0.7500
0.5000 0.5000 0.5000
0.0000 0.0000 0.0000
```

Calculated values
- Energy relative to the lowest polymorph listed for this composition: 38 meV/atom
- Electronic total energy: -7.65 eV per atom
- Density: 6.5 Mg/m³
- Spin magnetization: 14.43 μB/cell
- Density of states at the Fermi level: 1.378 states/eV/atom

=====

[11]
Compound: EuHo2Sc
Source: the Alexandria database
Functional: PBE
Structure: optimized geometry

Geometry as POSCAR:
```
EuHo2Sc
1.0
-1.4576 -5.3818 -0.4285
2.8379 -3.4023 -3.4121
3.3103 -3.9716 2.1309
Ho Sc Eu
2 1 1
Direct
0.2500 0.2500 0.2500
0.7500 0.7500 0.7500
0.5000 0.5000 0.5000
0.0000 0.0000 0.0000
```

Calculated values
- Energy relative to the lowest polymorph listed for this composition: 101 meV/atom
- Electronic total energy: -6.26 eV per atom
- Density: 7.1 Mg/m³
- Spin magnetization: 8.11 μB/cell
- Density of states at the Fermi level: 1.918 states/eV/atom

=====

[12]
Compound: Eu2HoSc
Source: the Alexandria database
Functional: PBE
Structure: optimized geometry

Geometry as POSCAR:
```
Eu2HoSc
1.0
-1.6862 -1.7520 2.4976
-1.3254 -3.1528 -0.6739
9.7233 -6.9027 4.1550
Eu Sc Ho
2 1 1
Direct
0.0844 0.0844 0.7468
0.9156 0.9156 0.2532
0.0000 0.0000 0.0000
0.5000 0.5000 0.5000
```

Calculated values
- Energy relative to the lowest polymorph listed for this composition: 122 meV/atom
- Electronic total energy: -7.57 eV per atom
- Density: 6.5 Mg/m³
- Spin magnetization: 14.76 μB/cell
- Density of states at the Fermi level: 1.635 states/eV/atom

=====

> The highest density belongs to which entry?

EuHoZnRu

=====

> Look up the density of the eighth one.

6.5 Mg/m³

=====

> spin magnetization of number 5 (EuHoSc2)?

6.91 μB/cell